# 1
Here is an optimized crystal structure of HoInPd3 from the Alexandria database. Energies are from PBE-GGA.

Computed properties:
VASP energy: -5.19 eV/atom
symmetry: Pnma (62)
energy relative to the elements: -608 meV/atom
total magnetization: 0.00 μB per atom
calculated volume: 99.4 Å³/f.u.

Cell lengths 8.1428, 7.4351, 6.5642 Å; angles 90.00, 90.00, 90.00 degrees
Element x y z (fractional)
Ho1 0.1247 0.2500 0.0639
Ho2 0.3753 0.7500 0.5639
Ho3 0.6247 0.2500 0.4361
Ho4 0.8753 0.7500 0.9361
In1 0.0000 0.0000 0.5000
In2 0.0000 0.5000 0.5000
In3 0.5000 0.0000 0.0000
In4 0.5000 0.5000 0.0000
Pd1 0.1366 0.7500 0.2179
Pd2 0.1827 0.5599 0.8446
Pd3 0.1827 0.9401 0.8446
Pd4 0.3173 0.0599 0.3446
Pd5 0.3173 0.4401 0.3446
Pd6 0.3634 0.2500 0.7179
Pd7 0.6366 0.7500 0.2821
Pd8 0.6827 0.5599 0.6554
Pd9 0.6827 0.9401 0.6554
Pd10 0.8173 0.0599 0.1554
Pd11 0.8173 0.4401 0.1554
Pd12 0.8634 0.2500 0.7821

---

# 2
Here is an optimized crystal structure of Ho4InPd from the Alexandria database. Energies are from PBE-GGA.

Computed properties:
VASP energy: -4.79 eV/atom
symmetry: C2/c (15)
energy relative to the elements: -419 meV/atom
total magnetization: 0.00 μB per atom
calculated volume: 165.0 Å³/f.u.

Cell lengths 7.8253, 7.8253, 6.0813 Å; angles 99.65, 99.65, 111.82 degrees
Element x y z (fractional)
Ho1 0.0612 0.7150 0.9487
Ho2 0.2060 0.3735 0.6106
Ho3 0.2850 0.9388 0.5513
Ho4 0.3735 0.2060 0.1106
Ho5 0.6265 0.7940 0.8894
Ho6 0.7150 0.0612 0.4487
Ho7 0.7940 0.6265 0.3894
Ho8 0.9388 0.2850 0.0513
In1 0.3781 0.6219 0.2500
In2 0.6219 0.3781 0.7500
Pd1 0.0008 0.9992 0.2500
Pd2 0.9992 0.0008 0.7500

---

# 3
Here is an optimized crystal structure of Ho2InPd from the Alexandria database. Energies are from PBE-GGA.

Computed properties:
VASP energy: -4.96 eV/atom
symmetry: P4/mmm (123)
energy relative to the elements: -692 meV/atom
total magnetization: 0.00 μB per atom
calculated volume: 95.3 Å³/f.u.

Cell lengths 3.5072, 3.5072, 7.7447 Å; angles 90.00, 90.00, 90.00 degrees
Element x y z (fractional)
Ho1 0.0000 0.0000 0.2230
Ho2 0.0000 0.0000 0.7770
In1 0.5000 0.5000 0.5000
Pd1 0.5000 0.5000 0.0000

---

# 4
Here is an optimized crystal structure of Ho2InPd from the Alexandria database. Energies are from PBE-GGA.

Computed properties:
VASP energy: -4.78 eV/atom
symmetry: R-3m (166)
energy relative to the elements: -512 meV/atom
total magnetization: 0.00 μB per atom
calculated volume: 105.1 Å³/f.u.

Cell lengths 8.8324, 8.8324, 8.8324 Å; angles 24.61, 24.61, 24.61 degrees
Element x y z (fractional)
Ho1 0.2379 0.2379 0.2379
Ho2 0.7621 0.7621 0.7621
In1 0.0000 0.0000 0.0000
Pd1 0.5000 0.5000 0.5000

---

# 5
Here is an optimized crystal structure of Ho6In2Pd from the Alexandria database. Energies are from PBE-GGA.

Computed properties:
VASP energy: -4.46 eV/atom
symmetry: Immm (71)
energy relative to the elements: -223 meV/atom
total magnetization: 0.00 μB per atom
calculated volume: 274.5 Å³/f.u.

Cell lengths 8.7104, 8.7104, 8.7104 Å; angles 146.26, 130.95, 60.86 degrees
Element x y z (fractional)
Ho1 0.0823 0.3420 0.7404
Ho2 0.2311 0.0000 0.2311
Ho3 0.3984 0.6580 0.7404
Ho4 0.6016 0.3420 0.2596
Ho5 0.7689 0.0000 0.7689
Ho6 0.9177 0.6580 0.2596
In1 0.3329 0.8329 0.5000
In2 0.6671 0.1671 0.5000
Pd1 0.0000 0.5000 0.5000

---

# 6
Here is an optimized crystal structure of Ho4In12Pd from the Alexandria database. Energies are from PBE-GGA.

Computed properties:
VASP energy: -3.71 eV/atom
symmetry: Im-3m (229)
energy relative to the elements: -393 meV/atom
total magnetization: 0.00 μB per atom
calculated volume: 412.9 Å³/f.u.

Cell lengths 8.1250, 8.1250, 8.1250 Å; angles 109.47, 109.47, 109.47 degrees
Element x y z (fractional)
Ho1 0.0000 0.0000 0.5000
Ho2 0.0000 0.5000 0.0000
Ho3 0.5000 0.0000 0.0000
Ho4 0.5000 0.5000 0.5000
In1 0.0000 0.2843 0.2843
In2 0.0000 0.7157 0.7157
In3 0.2500 0.5000 0.7500
In4 0.2500 0.7500 0.5000
In5 0.2843 0.0000 0.2843
In6 0.2843 0.2843 0.0000
In7 0.5000 0.2500 0.7500
In8 0.5000 0.7500 0.2500
In9 0.7157 0.0000 0.7157
In10 0.7157 0.7157 0.0000
In11 0.7500 0.2500 0.5000
In12 0.7500 0.5000 0.2500
Pd1 0.0000 0.0000 0.0000

---

# 7
Here is an optimized crystal structure of HoIn3Pd3 from the Alexandria database. Energies are from PBE-GGA.

Computed properties:
VASP energy: -4.00 eV/atom
symmetry: Pm-3n (223)
energy relative to the elements: 51 meV/atom
total magnetization: 0.00 μB per atom
calculated volume: 190.5 Å³/f.u.

Cell lengths 7.2491, 7.2491, 7.2491 Å; angles 90.00, 90.00, 90.00 degrees
Element x y z (fractional)
Ho1 0.0000 0.0000 0.0000
Ho2 0.5000 0.5000 0.5000
In1 0.0000 0.2500 0.5000
In2 0.0000 0.7500 0.5000
In3 0.2500 0.5000 0.0000
In4 0.5000 0.0000 0.2500
In5 0.5000 0.0000 0.7500
In6 0.7500 0.5000 0.0000
Pd1 0.0000 0.5000 0.2500
Pd2 0.0000 0.5000 0.7500
Pd3 0.2500 0.0000 0.5000
Pd4 0.5000 0.2500 0.0000
Pd5 0.5000 0.7500 0.0000
Pd6 0.7500 0.0000 0.5000

---

# 8
Here is an optimized crystal structure of Ho2InPd from the Alexandria database. Energies are from PBE-GGA.

Computed properties:
VASP energy: -4.88 eV/atom
symmetry: Fm-3m (225)
energy relative to the elements: -612 meV/atom
total magnetization: 0.00 μB per atom
calculated volume: 95.8 Å³/f.u.

Cell lengths 5.1359, 5.1359, 5.1359 Å; angles 60.00, 60.00, 60.00 degrees
Element x y z (fractional)
Ho1 0.2500 0.2500 0.2500
Ho2 0.7500 0.7500 0.7500
In1 0.0000 0.0000 0.0000
Pd1 0.5000 0.5000 0.5000

---

# 9
Here is an optimized crystal structure of HoIn2Pd5 from the Alexandria database. Energies are from PBE-GGA.

Computed properties:
VASP energy: -5.18 eV/atom
symmetry: I4/mmm (139)
energy relative to the elements: -682 meV/atom
total magnetization: 0.00 μB per atom
calculated volume: 141.6 Å³/f.u.

Cell lengths 8.3320, 8.3320, 8.3320 Å; angles 150.30, 150.30, 42.50 degrees
Element x y z (fractional)
Ho1 0.0000 0.0000 0.0000
In1 0.2549 0.2549 0.0000
In2 0.7451 0.7451 0.0000
Pd1 0.1297 0.6297 0.5000
Pd2 0.3703 0.8703 0.5000
Pd3 0.5000 0.5000 0.0000
Pd4 0.6297 0.1297 0.5000
Pd5 0.8703 0.3703 0.5000

---

# 10
Here is an optimized crystal structure of Ho5InPd2 from the Alexandria database. Energies are from PBE-GGA.

Computed properties:
VASP energy: -5.10 eV/atom
symmetry: I4/mcm (140)
energy relative to the elements: -599 meV/atom
total magnetization: 0.00 μB per atom
calculated volume: 205.8 Å³/f.u.

Cell lengths 8.6979, 8.6979, 8.6979 Å; angles 126.47, 126.47, 79.11 degrees
Element x y z (fractional)
Ho1 0.0000 0.0000 0.0000
Ho2 0.0176 0.5176 0.8167
Ho3 0.2009 0.0176 0.5000
Ho4 0.2991 0.7991 0.8167
Ho5 0.4824 0.2991 0.5000
Ho6 0.5000 0.5000 0.0000
Ho7 0.5176 0.7009 0.5000
Ho8 0.7009 0.2009 0.1833
Ho9 0.7991 0.9824 0.5000
Ho10 0.9824 0.4824 0.1833
In1 0.2500 0.2500 0.0000
In2 0.7500 0.7500 0.0000
Pd1 0.1342 0.3658 0.5000
Pd2 0.3658 0.8658 0.2316
Pd3 0.6342 0.1342 0.7684
Pd4 0.8658 0.6342 0.5000

---

# 11
Here is an optimized crystal structure of Ho2InPd2 from the Alexandria database. Energies are from PBE-GGA.

Computed properties:
VASP energy: -5.33 eV/atom
symmetry: P4/mbm (127)
energy relative to the elements: -878 meV/atom
total magnetization: 0.00 μB per atom
calculated volume: 109.9 Å³/f.u.

Cell lengths 7.7795, 7.7795, 3.6317 Å; angles 90.00, 90.00, 90.00 degrees
Element x y z (fractional)
Ho1 0.1718 0.3282 0.0000
Ho2 0.3282 0.8282 0.0000
Ho3 0.6718 0.1718 0.0000
Ho4 0.8282 0.6718 0.0000
In1 0.0000 0.0000 0.5000
In2 0.5000 0.5000 0.5000
Pd1 0.1283 0.6283 0.5000
Pd2 0.3717 0.1283 0.5000
Pd3 0.6283 0.8717 0.5000
Pd4 0.8717 0.3717 0.5000

---

# 12
Here is an optimized crystal structure of PmHo2InPd4 from the Alexandria database. Energies are from PBE-GGA.

Computed properties:
VASP energy: -5.48 eV/atom
symmetry: R-3m (166)
energy relative to the elements: -807 meV/atom
total magnetization: 0.00 μB per atom
calculated volume: 167.5 Å³/f.u.

Cell lengths 8.5356, 8.5356, 8.5356 Å; angles 33.37, 33.37, 33.37 degrees
Element x y z (fractional)
Pm1 0.0000 0.0000 0.0000
Ho1 0.2444 0.2444 0.2444
Ho2 0.7556 0.7556 0.7556
In1 0.5000 0.5000 0.5000
Pd1 0.1241 0.1241 0.1241
Pd2 0.3784 0.3784 0.3784
Pd3 0.6216 0.6216 0.6216
Pd4 0.8759 0.8759 0.8759

---

# 13
Here is an optimized crystal structure of PmHoInPd from the Alexandria database. Energies are from PBE-GGA.

Computed properties:
VASP energy: -4.89 eV/atom
symmetry: F-43m (216)
energy relative to the elements: -572 meV/atom
total magnetization: 0.00 μB per atom
calculated volume: 100.4 Å³/f.u.

Cell lengths 5.2166, 5.2166, 5.2166 Å; angles 60.00, 60.00, 60.00 degrees
Element x y z (fractional)
Pm1 0.0000 0.0000 0.0000
Ho1 0.5000 0.5000 0.5000
In1 0.2500 0.2500 0.2500
Pd1 0.7500 0.7500 0.7500

---

# 14
Here is an optimized crystal structure of PrHoInPd from the Alexandria database. Energies are from PBE-GGA.

Computed properties:
VASP energy: -4.87 eV/atom
symmetry: F-43m (216)
energy relative to the elements: -547 meV/atom
total magnetization: 0.00 μB per atom
calculated volume: 102.7 Å³/f.u.

Cell lengths 5.2568, 5.2568, 5.2568 Å; angles 60.00, 60.00, 60.00 degrees
Element x y z (fractional)
Pr1 0.0000 0.0000 0.0000
Ho1 0.5000 0.5000 0.5000
In1 0.2500 0.2500 0.2500
Pd1 0.7500 0.7500 0.7500

---

# 15
Here is an optimized crystal structure of HoPuInPd from the Alexandria database. Energies are from PBE-GGA.

Computed properties:
VASP energy: -7.06 eV/atom
symmetry: F-43m (216)
energy relative to the elements: -345 meV/atom
total magnetization: 1.37 μB per atom
calculated volume: 97.7 Å³/f.u.

Cell lengths 5.1706, 5.1706, 5.1706 Å; angles 60.00, 60.00, 60.00 degrees
Element x y z (fractional)
Ho1 0.0000 0.0000 0.0000
Pu1 0.5000 0.5000 0.5000
In1 0.2500 0.2500 0.2500
Pd1 0.7500 0.7500 0.7500

---

# 16
Here is an optimized crystal structure of Ho5In2PdRh2 from the Alexandria database. Energies are from PBE-GGA.

Computed properties:
VASP energy: -5.53 eV/atom
symmetry: P4/mbm (127)
energy relative to the elements: -699 meV/atom
total magnetization: 0.00 μB per atom
calculated volume: 239.1 Å³/f.u.

Cell lengths 11.5555, 11.5555, 3.5806 Å; angles 90.00, 90.00, 90.00 degrees
Element x y z (fractional)
Ho1 0.0000 0.5000 0.0000
Ho2 0.0713 0.1981 0.0000
Ho3 0.1981 0.9287 0.0000
Ho4 0.3019 0.4287 0.0000
Ho5 0.4287 0.6981 0.0000
Ho6 0.5000 0.0000 0.0000
Ho7 0.5713 0.3019 0.0000
Ho8 0.6981 0.5713 0.0000
Ho9 0.8019 0.0713 0.0000
Ho10 0.9287 0.8019 0.0000
In1 0.1752 0.6752 0.5000
In2 0.3248 0.1752 0.5000
In3 0.6752 0.8248 0.5000
In4 0.8248 0.3248 0.5000
Pd1 0.0000 0.0000 0.5000
Pd2 0.5000 0.5000 0.5000
Rh1 0.1344 0.3656 0.5000
Rh2 0.3656 0.8656 0.5000
Rh3 0.6344 0.1344 0.5000
Rh4 0.8656 0.6344 0.5000

---

# 17
Here is an optimized crystal structure of Ho3In3PdRu2 from the Alexandria database. Energies are from PBE-GGA.

Computed properties:
VASP energy: -5.60 eV/atom
symmetry: P-62m (189)
energy relative to the elements: -522 meV/atom
total magnetization: 0.00 μB per atom
calculated volume: 192.0 Å³/f.u.

Cell lengths 7.5602, 7.5602, 3.8786 Å; angles 90.00, 90.00, 120.00 degrees
Element x y z (fractional)
Ho1 0.0000 0.4089 0.0000
Ho2 0.4089 0.0000 0.0000
Ho3 0.5911 0.5911 0.0000
In1 0.0000 0.7364 0.5000
In2 0.2636 0.2636 0.5000
In3 0.7364 0.0000 0.5000
Pd1 0.0000 0.0000 0.0000
Ru1 0.3333 0.6667 0.5000
Ru2 0.6667 0.3333 0.5000

---

# 18
Here is an optimized crystal structure of HoScInPd from the Alexandria database. Energies are from PBE-GGA.

Computed properties:
VASP energy: -5.31 eV/atom
symmetry: F-43m (216)
energy relative to the elements: -595 meV/atom
total magnetization: 0.00 μB per atom
calculated volume: 88.9 Å³/f.u.

Cell lengths 5.0091, 5.0091, 5.0091 Å; angles 60.00, 60.00, 60.00 degrees
Element x y z (fractional)
Ho1 0.0000 0.0000 0.0000
Sc1 0.5000 0.5000 0.5000
In1 0.7500 0.7500 0.7500
Pd1 0.2500 0.2500 0.2500

---

# 19
Here is an optimized crystal structure of Ho2InSi2Pd5 from the Alexandria database. Energies are from PBE-GGA.

Computed properties:
VASP energy: -5.62 eV/atom
symmetry: P4/mbm (127)
formation energy without anion corrections: -0.754 eV per atom
total magnetization: 0.00 μB per atom
calculated volume: 180.5 Å³/f.u.

Cell lengths 10.0353, 10.0353, 3.5852 Å; angles 90.00, 90.00, 90.00 degrees
Element x y z (fractional)
Ho1 0.1763 0.3237 0.0000
Ho2 0.3237 0.8237 0.0000
Ho3 0.6763 0.1763 0.0000
Ho4 0.8237 0.6763 0.0000
In1 0.0000 0.0000 0.0000
In2 0.5000 0.5000 0.0000
Si1 0.1229 0.6229 0.0000
Si2 0.3771 0.1229 0.0000
Si3 0.6229 0.8771 0.0000
Si4 0.8771 0.3771 0.0000
Pd1 0.0000 0.5000 0.5000
Pd2 0.0606 0.7833 0.5000
Pd3 0.2167 0.0606 0.5000
Pd4 0.2833 0.5606 0.5000
Pd5 0.4394 0.2833 0.5000
Pd6 0.5000 0.0000 0.5000
Pd7 0.5606 0.7167 0.5000
Pd8 0.7167 0.4394 0.5000
Pd9 0.7833 0.9394 0.5000
Pd10 0.9394 0.2167 0.5000

---

# 20
Here is an optimized crystal structure of SmHoInPd from the Alexandria database. Energies are from PBE-GGA.

Computed properties:
VASP energy: -4.89 eV/atom
symmetry: F-43m (216)
energy relative to the elements: -579 meV/atom
total magnetization: 0.00 μB per atom
calculated volume: 99.6 Å³/f.u.

Cell lengths 5.2027, 5.2027, 5.2027 Å; angles 60.00, 60.00, 60.00 degrees
Element x y z (fractional)
Sm1 0.0000 0.0000 0.0000
Ho1 0.5000 0.5000 0.5000
In1 0.2500 0.2500 0.2500
Pd1 0.7500 0.7500 0.7500